DFT (GGA-PBE) results for a relaxed structure of Sr5Tl2I2.

The formation energy without anion corrections is -767 meV per atom.

a b c (Å): 9.081 9.108 9.819
angles (deg): 90.00 62.45 90.00
Positions (direct):
Sr  0.283  0.659  0.758
Sr  0.000  0.000  0.000
Sr  0.217  0.159  0.242
Sr  0.041  0.659  0.242
Sr  0.500  0.500  0.000
Sr  0.959  0.341  0.758
Sr  0.541  0.841  0.242
Sr  0.459  0.159  0.758
Sr  0.717  0.341  0.242
Sr  0.783  0.841  0.758
Tl  0.635  0.135  0.000
Tl  0.135  0.365  0.000
Tl  0.365  0.865  0.000
Tl  0.865  0.635  0.000
I  0.289  0.500  0.422
I  0.211  0.000  0.578
I  0.711  0.500  0.578
I  0.789  0.000  0.422

***

DFT (GGA-PBE) results for a relaxed structure of Li6Bi2H.

The energy above the lowest structure with this stoichiometry is 190 meV per atom.

a b c (Å): 3.924 6.829 8.123
angles (deg): 114.86 103.98 90.00
Positions (direct):
Li  0.828  0.619  0.656
Li  0.828  0.038  0.656
Li  0.500  0.764  0.000
Li  0.500  0.236  0.000
Li  0.172  0.962  0.344
Li  0.172  0.381  0.344
H  0.000  0.000  0.000
Bi  0.345  0.345  0.690
Bi  0.655  0.655  0.310

***

no.,total magnetization (μB per formula unit),mass density (g/cm3)
1,0.000,5.076
2,0.000,4.017